Density functional theory data (PBE-GGA) for a relaxed structure of SiTe2NCl.

Results
For the density of states at the Fermi level, the calculation gives 4.03 states/eV per cell. The formation energy (no corrections) is 1503 meV per atom. Its energy above the most stable polymorph in this dataset is 5.99 eV per formula unit.

Structure (POSCAR):
```
SiTe2NCl
1.0
-1.062 -4.607 3.430
-0.821 -3.331 -4.727
3.293 -0.777 -0.024
N Si Te Cl
1 1 2 1
direct
0.000 0.000 0.500 N
0.500 0.500 0.500 Si
0.000 0.500 0.000 Te
0.500 0.000 0.000 Te
0.000 0.000 0.000 Cl
```

***

Density functional theory data (PBE-GGA) for a relaxed structure of SrCl3.

Results
For the density of states at the Fermi level, the calculation gives 8.55 states/eV per cell. The formation energy (no corrections) is -1482 meV per atom.

Structure (POSCAR):
```
SrCl3
1.0
0.000 3.689 3.689
3.689 0.000 3.689
3.689 3.689 0.000
Sr Cl
1 3
direct
0.500 0.500 0.500 Sr
0.250 0.250 0.250 Cl
0.750 0.750 0.750 Cl
0.000 0.000 0.000 Cl
```

***

Density functional theory data (PBE-GGA) for a relaxed structure of Mg4CoPb.

Results
For the density of states at the Fermi level, the calculation gives 5.69 states/eV per cell. Its energy above the most stable polymorph in this dataset is 0.00 eV per formula unit. For the formation enthalpy at 0 K, the calculation gives -0.02 eV per atom.

Structure (POSCAR):
```
Mg4CoPb
1.0
5.007 0.000 -1.240
-0.614 6.758 -2.481
-0.653 -0.942 8.116
Mg Co Pb
8 2 2
direct
0.834 0.335 0.669 Mg
0.622 0.377 0.243 Mg
0.000 0.209 0.000 Mg
0.378 0.134 0.757 Mg
0.166 0.665 0.331 Mg
0.378 0.623 0.757 Mg
0.000 0.791 0.000 Mg
0.622 0.866 0.243 Mg
0.719 0.500 0.000 Co
0.281 0.500 0.000 Co
0.192 0.191 0.383 Pb
0.808 0.809 0.617 Pb
```

***

Density functional theory data (PBE-GGA) for a relaxed structure of Cs4Ac3SbO8.

Results
For the density of states at the Fermi level, the calculation gives 0.00 states/eV per cell. The formation energy (no corrections) is -2149 meV per atom.

Structure (POSCAR):
```
Cs4Ac3SbO8
1.0
-6.902 -3.241 0.954
3.634 -7.225 1.746
1.993 6.107 4.218
Cs Ac Sb O
4 3 1 8
direct
0.500 0.000 0.000 Cs
0.500 0.000 0.500 Cs
0.000 0.000 0.000 Cs
0.000 0.000 0.500 Cs
0.500 0.500 0.000 Ac
0.500 0.500 0.500 Ac
0.000 0.500 0.500 Ac
0.000 0.500 0.000 Sb
0.219 0.674 0.955 O
0.219 0.674 0.439 O
0.275 0.326 0.551 O
0.735 0.674 0.955 O
0.265 0.326 0.045 O
0.725 0.674 0.449 O
0.781 0.326 0.561 O
0.781 0.326 0.045 O
```